Record 1
Below is a relaxed Sr3Ac12La crystal, with properties calculated at the PBE level.

Summary:
Mass density in g cm⁻³: 7.12

a = 5.6746 Å, b = 5.6746 Å, c = 22.6403 Å
α = 90.00°, β = 90.00°, γ = 90.00°
With the nearest neighbours (Å) after each atom.
Space group P4/mmm (No. 123)
Asymmetric unit:
1 Sr 0.0000 0.0000 0.0000 x1  12 Ac 4.01-4.03
2 Sr 0.0000 0.0000 0.2532 x2  12 Ac 4.01-4.06
3 Ac 0.0000 0.5000 0.1266 x4  8 Ac 4.01-4.03, 4 Sr 4.03
4 Ac 0.0000 0.5000 0.3814 x4  8 Ac 3.91-4.08, 2 La 3.91, 2 Sr 4.06
5 Ac 0.5000 0.5000 0.0000 x1  4 Sr 4.01, 8 Ac 4.03
6 Ac 0.5000 0.5000 0.2522 x2  4 Sr 4.01, 8 Ac 4.02-4.08
7 Ac 0.5000 0.5000 0.5000 x1  8 Ac 3.91, 4 La 4.01
8 La 0.0000 0.0000 0.5000 x1  12 Ac 3.91-4.01



Record 2
Below is a relaxed Ac2CuAu6 crystal, with properties calculated at the PBE level.

Summary:
Mass density in g cm⁻³: 13.63

a = 6.4331 Å, b = 6.4331 Å, c = 5.7760 Å
α = 90.00°, β = 90.00°, γ = 120.00°
With the nearest neighbours (Å) after each atom.
Space group P-3m1 (No. 164)
Asymmetric unit:
1 Ac 0.3333 0.6667 0.3198 x2  12 Au 3.30-3.44
2 Cu 0.0000 0.0000 0.5000 x1  6 Au 2.64
3 Au 0.1759 0.3518 0.8074 x6  1 Cu 2.64



| no. | DFT formation energy (eV/atom) |
| --- | --- |
| 1 | 0.053 |
| 2 | -0.565 |